Entry from Alexandria via LeMat-Bulk: a PBEsol-optimized structure of TiBe2Pt (meta-GGA SCAN).

Summary:
V   11.408 Å³ per atom
DOS(E_F)   2.1 states/eV per cell
ΔE_f   -0.768 eV per atom
Symmetry   Fm-3m

```
data_TiBe2Pt
_cell_length_a 4.011
_cell_length_b 4.011
_cell_length_c 4.011
_cell_angle_alpha 60.00
_cell_angle_beta 60.00
_cell_angle_gamma 60.00
_space_group_name_H-M_alt 'P 1'
_space_group_IT_number 1
loop_
_space_group_symop_operation_xyz
'x,y,z'
loop_
_atom_site_label
_atom_site_type_symbol
_atom_site_fract_x
_atom_site_fract_y
_atom_site_fract_z
_atom_site_occupancy
Pt1 Pt 0.500 0.500 0.500 1
Be1 Be 0.250 0.250 0.250 1
Be2 Be 0.750 0.750 0.750 1
Ti1 Ti 0.000 0.000 0.000 1
```

Entry from Alexandria via LeMat-Bulk: a PBEsol-optimized structure of Be2TlPt (meta-GGA SCAN).

Summary:
Excess energy over the best structure of this formula in the dataset   0.483 eV per atom
V   14.395 Å³ per atom
DOS(E_F)   0.8 states/eV per cell
ΔE_f   0.303 eV per atom
Symmetry   F-43m

```
data_Be2TlPt
_cell_length_a 4.334
_cell_length_b 4.334
_cell_length_c 4.334
_cell_angle_alpha 60.00
_cell_angle_beta 60.00
_cell_angle_gamma 60.00
_space_group_name_H-M_alt 'P 1'
_space_group_IT_number 1
loop_
_space_group_symop_operation_xyz
'x,y,z'
loop_
_atom_site_label
_atom_site_type_symbol
_atom_site_fract_x
_atom_site_fract_y
_atom_site_fract_z
_atom_site_occupancy
Pt1 Pt 0.500 0.500 0.500 1
Be1 Be 0.000 0.000 0.000 1
Be2 Be 0.750 0.750 0.750 1
Tl1 Tl 0.250 0.250 0.250 1
```

Entry from Alexandria via LeMat-Bulk: a PBEsol-optimized structure of Be2TlPt (meta-GGA SCAN).

Summary:
Excess energy over the best structure of this formula in the dataset   0.000 eV per atom
V   16.593 Å³ per atom
DOS(E_F)   1.3 states/eV per cell
ΔE_f   -0.181 eV per atom
Symmetry   C2/m

```
data_Be2TlPt
_cell_length_a 3.945
_cell_length_b 3.945
_cell_length_c 5.330
_cell_angle_alpha 70.67
_cell_angle_beta 70.68
_cell_angle_gamma 60.00
_space_group_name_H-M_alt 'P 1'
_space_group_IT_number 1
loop_
_space_group_symop_operation_xyz
'x,y,z'
loop_
_atom_site_label
_atom_site_type_symbol
_atom_site_fract_x
_atom_site_fract_y
_atom_site_fract_z
_atom_site_occupancy
Be1 Be 0.824 0.824 0.032 1
Be2 Be 0.176 0.176 0.968 1
Pt1 Pt 0.500 0.500 0.000 1
Tl1 Tl 0.000 0.000 0.500 1
```

Entry from Alexandria via LeMat-Bulk: a PBEsol-optimized structure of Be2TlPt (meta-GGA SCAN).

Summary:
Excess energy over the best structure of this formula in the dataset   0.253 eV per atom
V   13.449 Å³ per atom
DOS(E_F)   1.0 states/eV per cell
ΔE_f   0.072 eV per atom
Symmetry   I4/mmm

```
data_Be2TlPt
_cell_length_a 4.279
_cell_length_b 4.218
_cell_length_c 4.218
_cell_angle_alpha 60.92
_cell_angle_beta 59.52
_cell_angle_gamma 59.52
_space_group_name_H-M_alt 'P 1'
_space_group_IT_number 1
loop_
_space_group_symop_operation_xyz
'x,y,z'
loop_
_atom_site_label
_atom_site_type_symbol
_atom_site_fract_x
_atom_site_fract_y
_atom_site_fract_z
_atom_site_occupancy
Be1 Be 0.250 0.750 0.750 1
Be2 Be 0.750 0.250 0.250 1
Pt1 Pt 0.500 0.000 0.000 1
Tl1 Tl 0.000 0.500 0.500 1
```

Entry from Alexandria via LeMat-Bulk: a PBEsol-optimized structure of BeTl3Pt (meta-GGA SCAN).

Summary:
V   28.752 Å³ per atom
DOS(E_F)   2.1 states/eV per cell
ΔE_f   0.532 eV per atom
Symmetry   Pm-3m

```
data_BeTl3Pt
_cell_length_a 5.239
_cell_length_b 5.239
_cell_length_c 5.239
_cell_angle_alpha 90.00
_cell_angle_beta 90.00
_cell_angle_gamma 90.00
_space_group_name_H-M_alt 'P 1'
_space_group_IT_number 1
loop_
_space_group_symop_operation_xyz
'x,y,z'
loop_
_atom_site_label
_atom_site_type_symbol
_atom_site_fract_x
_atom_site_fract_y
_atom_site_fract_z
_atom_site_occupancy
Tl1 Tl 0.000 0.500 0.000 1
Tl2 Tl 0.000 0.000 0.500 1
Tl3 Tl 0.500 0.000 0.000 1
Be1 Be 0.500 0.500 0.500 1
Pt1 Pt 0.000 0.000 0.000 1
```

Entry from Alexandria via LeMat-Bulk: a PBEsol-optimized structure of BePtW2 (meta-GGA SCAN).

Summary:
V   13.526 Å³ per atom
DOS(E_F)   1.3 states/eV per cell
ΔE_f   -0.192 eV per atom
Symmetry   Cmm2

```
data_BePtW2
_cell_length_a 2.716
_cell_length_b 2.716
_cell_length_c 7.335
_cell_angle_alpha 90.00
_cell_angle_beta 90.00
_cell_angle_gamma 90.54
_space_group_name_H-M_alt 'P 1'
_space_group_IT_number 1
loop_
_space_group_symop_operation_xyz
'x,y,z'
loop_
_atom_site_label
_atom_site_type_symbol
_atom_site_fract_x
_atom_site_fract_y
_atom_site_fract_z
_atom_site_occupancy
Pt1 Pt 0.500 0.500 0.290 1
Be1 Be 0.000 0.000 0.483 1
W1 W 0.000 0.000 0.015 1
W2 W 0.500 0.500 0.712 1
```

| no. | electronic total energy (eV for the cell shown) | total magnetization (μB/cell) |
| --- | --- | --- |
| 1 | -98.003 | 0.24 |
| 2 | -150.048 | 0.00 |
| 3 | -151.982 | 0.00 |
| 4 | -150.970 | 0.00 |
| 5 | -288.962 | 0.00 |
| 6 | -214.691 | 0.00 |